# Er8Bi4CSe3 PBE relaxed
# - Total energy: -5.52 eV per atom
# - Density of states at the Fermi level: 0.506 states/eV per atom
# - Uncorrected formation energy: -1.040 eV per atom
data_Er8Bi4CSe3
_chemical_formula_sum 'Er24 Bi12 C3 Se9'
_cell_length_a 8.2824
_cell_length_b 8.2824
_cell_length_c 20.9631
_cell_angle_alpha 90.00
_cell_angle_beta 90.00
_cell_angle_gamma 120.00
_space_group_name_H-M_alt 'R -3 m'
_space_group_IT_number 166
_space_group_name_Hall '-R 3 2"'
loop_
_atom_site_label
_atom_site_fract_x
_atom_site_fract_y
_atom_site_fract_z
_atom_site_occupancy
Er1 0.0000 0.0000 0.2430 1
Er2 0.0330 0.5165 0.2361 1
Bi1 0.0000 0.0000 0.0000 1
Bi2 0.0000 0.5000 0.0000 1
C1 0.0000 0.0000 0.5000 1
Se1 0.0000 0.5000 0.5000 1

# Sm2ErBiC PBE relaxed
# - ΔH_f (0 K): -0.498 eV/atom
# - Total energy: -5.92 eV per atom
# - Density of states at the Fermi level: 0.633 states/eV per atom
data_Sm2ErBiC
_chemical_formula_sum 'Sm2 Er1 Bi1 C1'
_cell_length_a 5.0741
_cell_length_b 5.0741
_cell_length_c 4.8525
_cell_angle_alpha 90.00
_cell_angle_beta 90.00
_cell_angle_gamma 90.00
_space_group_name_H-M_alt 'P 4/m m m'
_space_group_IT_number 123
_space_group_name_Hall '-P 4 2'
loop_
_atom_site_label
_atom_site_fract_x
_atom_site_fract_y
_atom_site_fract_z
_atom_site_occupancy
Sm1 0.0000 0.5000 0.0000 1
Er1 0.0000 0.0000 0.5000 1
Bi1 0.5000 0.5000 0.5000 1
C1 0.0000 0.0000 0.0000 1

# Tb2Er2Bi2C PBE relaxed
# - ΔH_f (0 K): -0.668 eV/atom
# - Total energy: -5.72 eV per atom
# - Density of states at the Fermi level: 0.853 states/eV per atom
data_Tb2Er2Bi2C
_chemical_formula_sum 'Tb4 Er4 Bi4 C2'
_cell_length_a 4.8121
_cell_length_b 4.8121
_cell_length_c 16.0775
_cell_angle_alpha 90.00
_cell_angle_beta 90.00
_cell_angle_gamma 90.00
_space_group_name_H-M_alt 'I 4/m m m'
_space_group_IT_number 139
_space_group_name_Hall '-I 4 2'
loop_
_atom_site_label
_atom_site_fract_x
_atom_site_fract_y
_atom_site_fract_z
_atom_site_occupancy
Tb1 0.0000 0.0000 0.1538 1
Er1 0.0000 0.5000 0.0000 1
Bi1 0.0000 0.0000 0.3569 1
C1 0.0000 0.0000 0.0000 1

# Er4TlBiC PBE relaxed
# - ΔH_f (0 K): -0.550 eV/atom
# - Total energy: -5.37 eV per atom
# - Density of states at the Fermi level: 0.155 states/eV per atom
data_Er4TlBiC
_chemical_formula_sum 'Er16 Tl4 Bi4 C4'
_cell_length_a 6.7640
_cell_length_b 15.8692
_cell_length_c 6.7645
_cell_angle_alpha 90.00
_cell_angle_beta 90.00
_cell_angle_gamma 90.00
_space_group_name_H-M_alt 'C m c m'
_space_group_IT_number 63
_space_group_name_Hall '-C 2c 2'
loop_
_atom_site_label
_atom_site_fract_x
_atom_site_fract_y
_atom_site_fract_z
_atom_site_occupancy
Er1 0.0000 0.0900 0.2500 1
Er2 0.0000 0.4037 0.2500 1
Er3 0.2500 0.2500 0.0000 1
Tl1 0.0000 0.1105 0.7500 1
Bi1 0.0000 0.3943 0.7500 1
C1 0.0000 0.2501 0.2500 1

# Er3TmBi2C PBE relaxed
# - ΔH_f (0 K): -0.636 eV/atom
# - Total energy: -5.66 eV per atom
# - Density of states at the Fermi level: 0.784 states/eV per atom
data_Er3TmBi2C
_chemical_formula_sum 'Er6 Tm2 Bi4 C2'
_cell_length_a 4.7847
_cell_length_b 4.8105
_cell_length_c 15.8642
_cell_angle_alpha 90.00
_cell_angle_beta 90.00
_cell_angle_gamma 90.00
_space_group_name_H-M_alt 'I m m m'
_space_group_IT_number 71
_space_group_name_Hall '-I 2 2'
loop_
_atom_site_label
_atom_site_fract_x
_atom_site_fract_y
_atom_site_fract_z
_atom_site_occupancy
Er1 0.0000 0.0000 0.0000 1
Er2 0.0000 0.5000 0.1520 1
Tm1 0.0000 0.0000 0.5000 1
Bi1 0.0000 0.5000 0.3550 1
C1 0.0000 0.5000 0.0000 1

# Y2Er2Bi2C PBE relaxed
# - ΔH_f (0 K): -0.673 eV/atom
# - Total energy: -6.25 eV per atom
# - Density of states at the Fermi level: 0.865 states/eV per atom
data_Y2Er2Bi2C
_chemical_formula_sum 'Y4 Er4 Bi4 C2'
_cell_length_a 4.8132
_cell_length_b 4.8132
_cell_length_c 16.0146
_cell_angle_alpha 90.00
_cell_angle_beta 90.00
_cell_angle_gamma 90.00
_space_group_name_H-M_alt 'I 4/m m m'
_space_group_IT_number 139
_space_group_name_Hall '-I 4 2'
loop_
_atom_site_label
_atom_site_fract_x
_atom_site_fract_y
_atom_site_fract_z
_atom_site_occupancy
Y1 0.0000 0.0000 0.1538 1
Er1 0.0000 0.5000 0.0000 1
Bi1 0.0000 0.0000 0.3564 1
C1 0.0000 0.0000 0.0000 1

# YEr2BiC PBE relaxed
# - ΔH_f (0 K): -0.545 eV/atom
# - Total energy: -6.28 eV per atom
# - Density of states at the Fermi level: 0.677 states/eV per atom
data_YEr2BiC
_chemical_formula_sum 'Y1 Er2 Bi1 C1'
_cell_length_a 4.8724
_cell_length_b 4.8724
_cell_length_c 4.9431
_cell_angle_alpha 90.00
_cell_angle_beta 90.00
_cell_angle_gamma 90.00
_space_group_name_H-M_alt 'P 4/m m m'
_space_group_IT_number 123
_space_group_name_Hall '-P 4 2'
loop_
_atom_site_label
_atom_site_fract_x
_atom_site_fract_y
_atom_site_fract_z
_atom_site_occupancy
Y1 0.0000 0.0000 0.0000 1
Er1 0.0000 0.5000 0.5000 1
Bi1 0.5000 0.5000 0.0000 1
C1 0.0000 0.0000 0.5000 1

# Y2ErBiC PBE relaxed
# - ΔH_f (0 K): -0.553 eV/atom
# - Total energy: -6.67 eV per atom
# - Density of states at the Fermi level: 0.675 states/eV per atom
data_Y2ErBiC
_chemical_formula_sum 'Y2 Er1 Bi1 C1'
_cell_length_a 4.9396
_cell_length_b 4.9396
_cell_length_c 4.8688
_cell_angle_alpha 90.00
_cell_angle_beta 90.00
_cell_angle_gamma 90.00
_space_group_name_H-M_alt 'P 4/m m m'
_space_group_IT_number 123
_space_group_name_Hall '-P 4 2'
loop_
_atom_site_label
_atom_site_fract_x
_atom_site_fract_y
_atom_site_fract_z
_atom_site_occupancy
Y1 0.0000 0.5000 0.0000 1
Er1 0.0000 0.0000 0.5000 1
Bi1 0.5000 0.5000 0.5000 1
C1 0.0000 0.0000 0.0000 1

# Y3ErBi2C PBE relaxed
# - ΔH_f (0 K): -0.671 eV/atom
# - Total energy: -6.52 eV per atom
# - Density of states at the Fermi level: 0.848 states/eV per atom
data_Y3ErBi2C
_chemical_formula_sum 'Y6 Er2 Bi4 C2'
_cell_length_a 4.8158
_cell_length_b 4.8601
_cell_length_c 16.0245
_cell_angle_alpha 90.00
_cell_angle_beta 90.00
_cell_angle_gamma 90.00
_space_group_name_H-M_alt 'I m m m'
_space_group_IT_number 71
_space_group_name_Hall '-I 2 2'
loop_
_atom_site_label
_atom_site_fract_x
_atom_site_fract_y
_atom_site_fract_z
_atom_site_occupancy
Y1 0.0000 0.0000 0.0000 1
Y2 0.0000 0.5000 0.1536 1
Er1 0.0000 0.0000 0.5000 1
Bi1 0.0000 0.5000 0.3559 1
C1 0.0000 0.5000 0.0000 1

# Eu3BiC PBE relaxed
# - ΔH_f (0 K): -0.378 eV/atom
# - Total energy: -9.16 eV per atom
# - Density of states at the Fermi level: 3.030 states/eV per atom
data_Eu3BiC
_chemical_formula_sum 'Eu3 Bi1 C1'
_cell_length_a 5.1678
_cell_length_b 5.1678
_cell_length_c 5.1678
_cell_angle_alpha 90.00
_cell_angle_beta 90.00
_cell_angle_gamma 90.00
_space_group_name_H-M_alt 'P m -3 m'
_space_group_IT_number 221
_space_group_name_Hall '-P 4 2 3'
loop_
_atom_site_label
_atom_site_fract_x
_atom_site_fract_y
_atom_site_fract_z
_atom_site_occupancy
Eu1 0.0000 0.0000 0.5000 1
Bi1 0.5000 0.5000 0.5000 1
C1 0.0000 0.0000 0.0000 1

# BiC2F PBE relaxed
# - Total energy: -4.69 eV per atom
# - E above lowest polymorph: 0 meV per atom
# - Density of states at the Fermi level: 0.546 states/eV per atom
# - Uncorrected formation energy: 1.360 eV per atom
data_BiC2F
_chemical_formula_sum 'Bi4 C8 F4'
_cell_length_a 3.2881
_cell_length_b 3.2881
_cell_length_c 20.5722
_cell_angle_alpha 90.00
_cell_angle_beta 90.00
_cell_angle_gamma 90.00
_space_group_name_H-M_alt 'I 41/a m d'
_space_group_IT_number 141
loop_
_space_group_symop_operation_xyz
'x,y,z'
'-x,-y,-z'
'-y+1/4,x+3/4,z+1/4'
'y+1/4,-x+3/4,-z+1/4'
'-x+1/2,-y,z+1/2'
'x+1/2,y,-z+1/2'
'y+1/4,-x+1/4,z+3/4'
'-y+1/4,x+1/4,-z+3/4'
'x,-y,-z'
'-x,y,z'
'-y+1/4,-x+1/4,-z+3/4'
'y+1/4,x+1/4,z+3/4'
'-x+1/2,y,-z+1/2'
'x+1/2,-y,z+1/2'
'y+1/4,x+3/4,-z+1/4'
'-y+1/4,-x+3/4,z+1/4'
'x+1/2,y+1/2,z+1/2'
'-x+1/2,-y+1/2,-z+1/2'
'-y+3/4,x+1/4,z+3/4'
'y+3/4,-x+1/4,-z+3/4'
'-x,-y+1/2,z'
'x,y+1/2,-z'
'y+3/4,-x+3/4,z+1/4'
'-y+3/4,x+3/4,-z+1/4'
'x+1/2,-y+1/2,-z+1/2'
'-x+1/2,y+1/2,z+1/2'
'-y+3/4,-x+3/4,-z+1/4'
'y+3/4,x+3/4,z+1/4'
'-x,y+1/2,-z'
'x,-y+1/2,z'
'y+3/4,x+1/4,-z+3/4'
'-y+3/4,-x+1/4,z+3/4'
loop_
_atom_site_label
_atom_site_fract_x
_atom_site_fract_y
_atom_site_fract_z
_atom_site_occupancy
Bi1 0.0000 0.2500 0.3750 1
C1 0.0000 0.0000 0.0000 1
F1 0.0000 0.2500 0.8750 1

# Bi3CF PBE relaxed
# - Total energy: -3.97 eV per atom
# - E above lowest polymorph: 0 meV per atom
# - Density of states at the Fermi level: 0.743 states/eV per atom
# - Uncorrected formation energy: 0.579 eV per atom
data_Bi3CF
_chemical_formula_sum 'Bi3 C1 F1'
_cell_length_a 4.9755
_cell_length_b 4.9755
_cell_length_c 4.9755
_cell_angle_alpha 90.00
_cell_angle_beta 90.00
_cell_angle_gamma 90.00
_space_group_name_H-M_alt 'P m -3 m'
_space_group_IT_number 221
_space_group_name_Hall '-P 4 2 3'
loop_
_atom_site_label
_atom_site_fract_x
_atom_site_fract_y
_atom_site_fract_z
_atom_site_occupancy
Bi1 0.0000 0.0000 0.5000 1
C1 0.0000 0.0000 0.0000 1
F1 0.5000 0.5000 0.5000 1

# BiC2F PBE relaxed
# - Total energy: -4.17 eV per atom
# - E above lowest polymorph: 521 meV per atom
# - Density of states at the Fermi level: 0.404 states/eV per atom
# - Uncorrected formation energy: 1.881 eV per atom
data_BiC2F
_chemical_formula_sum 'Bi4 C8 F4'
_cell_length_a 5.8641
_cell_length_b 5.8641
_cell_length_c 5.8641
_cell_angle_alpha 90.00
_cell_angle_beta 90.00
_cell_angle_gamma 90.00
_space_group_name_H-M_alt 'F m -3 m'
_space_group_IT_number 225
_space_group_name_Hall '-F 4 2 3'
loop_
_atom_site_label
_atom_site_fract_x
_atom_site_fract_y
_atom_site_fract_z
_atom_site_occupancy
Bi1 0.0000 0.0000 0.0000 1
C1 0.2500 0.2500 0.2500 1
F1 0.0000 0.0000 0.5000 1

# BiCI2F PBE relaxed
# - Total energy: -2.94 eV per atom
# - Density of states at the Fermi level: 0.443 states/eV per atom
# - Uncorrected formation energy: 0.678 eV per atom
data_BiCI2F
_chemical_formula_sum 'Bi1 C1 I2 F1'
_cell_length_a 5.3248
_cell_length_b 5.3248
_cell_length_c 4.0115
_cell_angle_alpha 90.00
_cell_angle_beta 90.00
_cell_angle_gamma 90.00
_space_group_name_H-M_alt 'P 4/m m m'
_space_group_IT_number 123
_space_group_name_Hall '-P 4 2'
loop_
_atom_site_label
_atom_site_fract_x
_atom_site_fract_y
_atom_site_fract_z
_atom_site_occupancy
Bi1 0.0000 0.0000 0.0000 1
C1 0.5000 0.5000 0.5000 1
I1 0.0000 0.5000 0.5000 1
F1 0.5000 0.5000 0.0000 1

# Li2BiCF PBE relaxed
# - Total energy: -3.05 eV per atom
# - Density of states at the Fermi level: 0.736 states/eV per atom
# - Uncorrected formation energy: 0.712 eV per atom
data_Li2BiCF
_chemical_formula_sum 'Li2 Bi1 C1 F1'
_cell_length_a 5.4839
_cell_length_b 5.4839
_cell_length_c 4.5497
_cell_angle_alpha 90.00
_cell_angle_beta 90.00
_cell_angle_gamma 90.00
_space_group_name_H-M_alt 'P 4/m m m'
_space_group_IT_number 123
_space_group_name_Hall '-P 4 2'
loop_
_atom_site_label
_atom_site_fract_x
_atom_site_fract_y
_atom_site_fract_z
_atom_site_occupancy
Li1 0.0000 0.5000 0.0000 1
Bi1 0.0000 0.0000 0.0000 1
C1 0.5000 0.5000 0.5000 1
F1 0.0000 0.0000 0.5000 1

# BiCN2F PBE relaxed
# - Total energy: -6.80 eV per atom
# - E above lowest polymorph: 0 meV per atom
# - Density of states at the Fermi level: 0.000 states/eV per atom
# - Uncorrected formation energy: -0.479 eV per atom
data_BiCN2F
_chemical_formula_sum 'Bi2 C2 N4 F2'
_cell_length_a 5.4644
_cell_length_b 3.7282
_cell_length_c 6.7245
_cell_angle_alpha 90.00
_cell_angle_beta 97.39
_cell_angle_gamma 90.00
_space_group_name_H-M_alt 'P 1 21/m 1'
_space_group_IT_number 11
_space_group_name_Hall '-P 2yb'
loop_
_atom_site_label
_atom_site_fract_x
_atom_site_fract_y
_atom_site_fract_z
_atom_site_occupancy
Bi1 0.1352 0.2500 0.2611 1
C1 0.3509 0.2500 0.8386 1
N1 0.1318 0.2500 0.8817 1
N2 0.4385 0.7500 0.1968 1
F1 0.1798 0.7500 0.5239 1

# BiCN2F PBE relaxed
# - Total energy: -4.15 eV per atom
# - E above lowest polymorph: 2657 meV per atom
# - Density of states at the Fermi level: 0.344 states/eV per atom
# - Uncorrected formation energy: 2.178 eV per atom
data_BiCN2F
_chemical_formula_sum 'Bi1 C1 N2 F1'
_cell_length_a 4.4741
_cell_length_b 4.4741
_cell_length_c 4.3643
_cell_angle_alpha 90.00
_cell_angle_beta 90.00
_cell_angle_gamma 90.00
_space_group_name_H-M_alt 'P 4/m m m'
_space_group_IT_number 123
_space_group_name_Hall '-P 4 2'
loop_
_atom_site_label
_atom_site_fract_x
_atom_site_fract_y
_atom_site_fract_z
_atom_site_occupancy
Bi1 0.0000 0.0000 0.0000 1
C1 0.5000 0.5000 0.5000 1
N1 0.0000 0.5000 0.0000 1
F1 0.0000 0.0000 0.5000 1

# BiCNF2 PBE relaxed
# - Total energy: -4.43 eV per atom
# - E above lowest polymorph: 0 meV per atom
# - Density of states at the Fermi level: 0.228 states/eV per atom
# - Uncorrected formation energy: 0.603 eV per atom
data_BiCNF2
_chemical_formula_sum 'Bi1 C1 N1 F2'
_cell_length_a 3.9159
_cell_length_b 3.9159
_cell_length_c 3.7805
_cell_angle_alpha 90.00
_cell_angle_beta 90.00
_cell_angle_gamma 90.00
_space_group_name_H-M_alt 'P 4/m m m'
_space_group_IT_number 123
_space_group_name_Hall '-P 4 2'
loop_
_atom_site_label
_atom_site_fract_x
_atom_site_fract_y
_atom_site_fract_z
_atom_site_occupancy
Bi1 0.0000 0.0000 0.0000 1
C1 0.5000 0.5000 0.5000 1
N1 0.5000 0.5000 0.0000 1
F1 0.0000 0.5000 0.5000 1

# BiCNF2 PBE relaxed
# - Total energy: -4.12 eV per atom
# - E above lowest polymorph: 316 meV per atom
# - Density of states at the Fermi level: 0.870 states/eV per atom
# - Uncorrected formation energy: 0.919 eV per atom
data_BiCNF2
_chemical_formula_sum 'Bi1 C1 N1 F2'
_cell_length_a 4.4548
_cell_length_b 4.4548
_cell_length_c 4.6357
_cell_angle_alpha 90.00
_cell_angle_beta 90.00
_cell_angle_gamma 90.00
_space_group_name_H-M_alt 'P 4/m m m'
_space_group_IT_number 123
_space_group_name_Hall '-P 4 2'
loop_
_atom_site_label
_atom_site_fract_x
_atom_site_fract_y
_atom_site_fract_z
_atom_site_occupancy
Bi1 0.0000 0.0000 0.0000 1
C1 0.5000 0.5000 0.5000 1
N1 0.0000 0.0000 0.5000 1
F1 0.0000 0.5000 0.0000 1

# BiCN2F PBE relaxed
# - Total energy: -5.01 eV per atom
# - E above lowest polymorph: 1790 meV per atom
# - Density of states at the Fermi level: 0.171 states/eV per atom
# - Uncorrected formation energy: 1.311 eV per atom
data_BiCN2F
_chemical_formula_sum 'Bi1 C1 N2 F1'
_cell_length_a 3.6009
_cell_length_b 3.6009
_cell_length_c 3.9628
_cell_angle_alpha 90.00
_cell_angle_beta 90.00
_cell_angle_gamma 90.00
_space_group_name_H-M_alt 'P 4/m m m'
_space_group_IT_number 123
_space_group_name_Hall '-P 4 2'
loop_
_atom_site_label
_atom_site_fract_x
_atom_site_fract_y
_atom_site_fract_z
_atom_site_occupancy
Bi1 0.0000 0.0000 0.0000 1
C1 0.5000 0.5000 0.5000 1
N1 0.0000 0.5000 0.5000 1
F1 0.5000 0.5000 0.0000 1